# CoTcMo

A relaxed CoTcMo crystal (PBE, Alexandria).

The formation energy comes out at 149 meV/atom. As for the symmetry: Imm2 (44).

The structure in CIF format:
```
data_CoTcMo
_chemical_formula_sum 'Co1 Tc1 Mo1'
_cell_length_a 4.714
_cell_length_b 4.714
_cell_length_c 4.714
_cell_angle_alpha 147.88
_cell_angle_beta 131.24
_cell_angle_gamma 59.59
_symmetry_space_group_name_H-M 'P 1'
_symmetry_Int_Tables_number 1
_symmetry_space_group_name_Hall 'P 1'
loop_
_atom_site_label
_atom_site_type_symbol
_atom_site_fract_x
_atom_site_fract_y
_atom_site_fract_z
Co1 Co 0.004 0.004 0.000
Mo1 Mo 0.338 0.338 0.000
Tc1 Tc 0.658 0.658 0.000
```

# CoHg2Br

A relaxed CoHg2Br crystal (PBE, Alexandria).

As for the formation energy from raw total energies: 0.1861 eV per atom. As for the symmetry: Imm2 (44).

The structure in CIF format:
```
data_CoHg2Br
_chemical_formula_sum 'Co1 Hg2 Br1'
_cell_length_a 7.024
_cell_length_b 7.024
_cell_length_c 7.024
_cell_angle_alpha 153.96
_cell_angle_beta 140.99
_cell_angle_gamma 47.51
_symmetry_space_group_name_H-M 'P 1'
_symmetry_Int_Tables_number 1
_symmetry_space_group_name_Hall 'P 1'
loop_
_atom_site_label
_atom_site_type_symbol
_atom_site_fract_x
_atom_site_fract_y
_atom_site_fract_z
Br1 Br 0.414 0.414 0.000
Co1 Co 0.264 0.764 0.500
Hg1 Hg 0.084 0.084 0.000
Hg2 Hg 0.738 0.238 0.500
```

# Rb3In

A relaxed Rb3In crystal (PBE, Alexandria).

The formation energy comes out at 91 meV/atom. As for the symmetry: I4/mmm (139).

The structure in CIF format:
```
data_Rb3In
_chemical_formula_sum 'Rb3 In1'
_cell_length_a 7.320
_cell_length_b 7.320
_cell_length_c 7.320
_cell_angle_alpha 129.40
_cell_angle_beta 129.40
_cell_angle_gamma 74.37
_symmetry_space_group_name_H-M 'P 1'
_symmetry_Int_Tables_number 1
_symmetry_space_group_name_Hall 'P 1'
loop_
_atom_site_label
_atom_site_type_symbol
_atom_site_fract_x
_atom_site_fract_y
_atom_site_fract_z
Rb1 Rb 0.750 0.250 0.500
Rb2 Rb 0.250 0.750 0.500
Rb3 Rb 0.500 0.500 0.000
In1 In 0.000 0.000 0.000
```

no.,N(E_F) (states/eV/cell),E_tot (eV/atom)
1,3.63,-9.285
2,2.70,-2.160
3,3.92,-1.319